# YPtPbSe3 | the Open Quantum Materials Database | PBE | optimized geometry
data_YPtPbSe3
_chemical_formula_sum 'Y4 Pt4 Pb4 Se12'
_space_group_name_H-M_alt 'C m c m'
_space_group_IT_number 63
_space_group_name_Hall '-C 2c 2'
_cell_length_a 3.891
_cell_length_b 14.481
_cell_length_c 10.641
_cell_angle_alpha 90.00
_cell_angle_beta 90.00
_cell_angle_gamma 90.00
loop_
_atom_site_label
_atom_site_fract_x
_atom_site_fract_y
_atom_site_fract_z
_atom_site_occupancy
Y1 0.000 0.000 0.000 1
Pt1 0.000 0.463 0.250 1
Pb1 0.000 0.210 0.750 1
Se1 0.000 0.077 0.250 1
Se2 0.000 0.357 0.049 1
# Final energy, eV per atom: -5.378
# M_tot, μB/atom: 0.00
# Crystal system: orthorhombic



# SiPt5Pb | the Open Quantum Materials Database | PBE | optimized geometry
data_SiPt5Pb
_chemical_formula_sum 'Si1 Pt5 Pb1'
_space_group_name_H-M_alt 'P 4/m m m'
_space_group_IT_number 123
_space_group_name_Hall '-P 4 2'
_cell_length_a 4.029
_cell_length_b 4.029
_cell_length_c 7.252
_cell_angle_alpha 90.00
_cell_angle_beta 90.00
_cell_angle_gamma 90.00
loop_
_atom_site_label
_atom_site_fract_x
_atom_site_fract_y
_atom_site_fract_z
_atom_site_occupancy
Si1 0.000 0.000 0.000 1
Pt1 0.000 0.000 0.500 1
Pt2 0.000 0.500 0.197 1
Pb1 0.500 0.500 0.500 1
# Final energy, eV per atom: -6.009
# M_tot, μB/atom: 0.00
# Crystal system: tetragonal



# Zr2SnPt2Pb | the Open Quantum Materials Database | PBE | optimized geometry
data_Zr2SnPt2Pb
_chemical_formula_sum 'Zr8 Sn4 Pt8 Pb4'
_space_group_name_H-M_alt 'P 1 m 1'
_space_group_IT_number 6
_cell_length_a 11.183
_cell_length_b 4.563
_cell_length_c 11.189
_cell_angle_alpha 90.00
_cell_angle_beta 109.49
_cell_angle_gamma 90.00
loop_
_space_group_symop_operation_xyz
'x,y,z'
'x,-y,z'
loop_
_atom_site_label
_atom_site_fract_x
_atom_site_fract_y
_atom_site_fract_z
_atom_site_occupancy
Zr1 0.000 0.000 0.000 1
Zr2 0.123 0.500 0.375 1
Zr3 0.247 0.000 0.748 1
Zr4 0.375 0.500 0.128 1
Zr5 0.500 0.000 0.500 1
Zr6 0.625 0.500 0.873 1
Zr7 0.749 0.000 0.252 1
Zr8 0.873 0.500 0.624 1
Sn1 0.250 0.000 0.251 1
Sn2 0.624 0.500 0.375 1
Sn3 0.749 0.000 0.749 1
Sn4 0.998 0.000 0.499 1
Pt1 0.129 0.500 0.130 1
Pt2 0.244 0.000 0.495 1
Pt3 0.374 0.500 0.875 1
Pt4 0.500 0.000 0.256 1
Pt5 0.628 0.500 0.624 1
Pt6 0.750 0.000 0.995 1
Pt7 0.873 0.500 0.379 1
Pt8 0.995 0.000 0.746 1
Pb1 0.123 0.500 0.875 1
Pb2 0.374 0.500 0.624 1
Pb3 0.500 0.000 0.002 1
Pb4 0.874 0.500 0.126 1
# Final energy, eV per atom: -7.027
# M_tot, μB/atom: 0.00
# Crystal system: monoclinic



# Sr2Pt3Pb2 | the Open Quantum Materials Database | PBE | optimized geometry
data_Sr2Pt3Pb2
_chemical_formula_sum 'Sr6 Pt9 Pb6'
_space_group_name_H-M_alt 'R 3 m'
_space_group_IT_number 160
_space_group_name_Hall 'R 3 -2"'
_cell_length_a 5.0194
_cell_length_b 5.0194
_cell_length_c 24.5586
_cell_angle_alpha 90.00
_cell_angle_beta 90.00
_cell_angle_gamma 120.00
loop_
_atom_site_label
_atom_site_fract_x
_atom_site_fract_y
_atom_site_fract_z
_atom_site_occupancy
Sr1 0.0000 0.0000 0.0000 1
Sr2 0.0000 0.0000 0.4963 1
Pt1 0.0000 0.0000 0.3730 1
Pt2 0.0000 0.0000 0.6232 1
Pt3 0.0000 0.0000 0.8737 1
Pb1 0.0000 0.0000 0.2510 1
Pb2 0.0000 0.0000 0.7441 1
# Final energy, eV per atom: -4.615
# M_tot, μB/atom: 0.00
# Crystal system: trigonal



# Ta4Pt5Pb5 | the Open Quantum Materials Database | PBE | optimized geometry
data_Ta4Pt5Pb5
_chemical_formula_sum 'Ta8 Pt10 Pb10'
_space_group_name_H-M_alt 'I -4'
_space_group_IT_number 82
_cell_length_a 10.023
_cell_length_b 10.023
_cell_length_c 6.369
_cell_angle_alpha 90.00
_cell_angle_beta 90.00
_cell_angle_gamma 90.00
loop_
_space_group_symop_operation_xyz
'x,y,z'
'y,-x,-z'
'-x,-y,z'
'-y,x,-z'
'x+1/2,y+1/2,z+1/2'
'y+1/2,-x+1/2,-z+1/2'
'-x+1/2,-y+1/2,z+1/2'
'-y+1/2,x+1/2,-z+1/2'
loop_
_atom_site_label
_atom_site_fract_x
_atom_site_fract_y
_atom_site_fract_z
_atom_site_occupancy
Ta1 0.098 0.303 0.005 1
Pt1 0.000 0.500 0.750 1
Pt2 0.110 0.780 0.215 1
Pb1 0.000 0.000 0.000 1
Pb2 0.080 0.271 0.516 1
# Final energy, eV per atom: -7.039
# M_tot, μB/atom: 0.00
# Crystal system: tetragonal



# TaPt2Pb | the Open Quantum Materials Database | PBE | optimized geometry
data_TaPt2Pb
_chemical_formula_sum 'Ta4 Pt8 Pb4'
_space_group_name_H-M_alt 'F -4 3 m'
_space_group_IT_number 216
_space_group_name_Hall 'F -4 2 3'
_cell_length_a 6.618
_cell_length_b 6.618
_cell_length_c 6.618
_cell_angle_alpha 90.00
_cell_angle_beta 90.00
_cell_angle_gamma 90.00
loop_
_atom_site_label
_atom_site_fract_x
_atom_site_fract_y
_atom_site_fract_z
_atom_site_occupancy
Ta1 0.000 0.000 0.000 1
Pt1 0.000 0.000 0.500 1
Pt2 0.250 0.250 0.250 1
Pb1 0.250 0.250 0.750 1
# Final energy, eV per atom: -6.855
# M_tot, μB/atom: 0.00
# Crystal system: cubic



# TcPt2Pb | the Open Quantum Materials Database | PBE | optimized geometry
data_TcPt2Pb
_chemical_formula_sum 'Tc4 Pt8 Pb4'
_space_group_name_H-M_alt 'F -4 3 m'
_space_group_IT_number 216
_space_group_name_Hall 'F -4 2 3'
_cell_length_a 6.534
_cell_length_b 6.534
_cell_length_c 6.534
_cell_angle_alpha 90.00
_cell_angle_beta 90.00
_cell_angle_gamma 90.00
loop_
_atom_site_label
_atom_site_fract_x
_atom_site_fract_y
_atom_site_fract_z
_atom_site_occupancy
Tc1 0.000 0.000 0.000 1
Pt1 0.000 0.000 0.500 1
Pt2 0.250 0.250 0.250 1
Pb1 0.250 0.250 0.750 1
# Final energy, eV per atom: -6.242
# M_tot, μB/atom: 0.47
# Crystal system: cubic



# TlPt3Pb5 | the Open Quantum Materials Database | PBE | optimized geometry
data_TlPt3Pb5
_chemical_formula_sum 'Tl1 Pt3 Pb5'
_space_group_name_H-M_alt 'P 6/m m m'
_space_group_IT_number 191
_space_group_name_Hall '-P 6 2'
_cell_length_a 5.6568
_cell_length_b 5.6568
_cell_length_c 8.4115
_cell_angle_alpha 90.00
_cell_angle_beta 90.00
_cell_angle_gamma 120.00
loop_
_atom_site_label
_atom_site_fract_x
_atom_site_fract_y
_atom_site_fract_z
_atom_site_occupancy
Tl1 0.0000 0.0000 0.0000 1
Pt1 0.0000 0.5000 0.5000 1
Pb1 0.0000 0.0000 0.5000 1
Pb2 0.3333 0.6667 0.2024 1
# Final energy, eV per atom: -4.430
# M_tot, μB/atom: 0.00
# Crystal system: hexagonal



# PtPb4W3 | the Open Quantum Materials Database | PBE | optimized geometry
data_PtPb4W3
_chemical_formula_sum 'Pt2 Pb8 W6'
_space_group_name_H-M_alt 'I -4 2 m'
_space_group_IT_number 121
_space_group_name_Hall 'I -4 2'
_cell_length_a 6.308
_cell_length_b 6.308
_cell_length_c 12.549
_cell_angle_alpha 90.00
_cell_angle_beta 90.00
_cell_angle_gamma 90.00
loop_
_atom_site_label
_atom_site_fract_x
_atom_site_fract_y
_atom_site_fract_z
_atom_site_occupancy
Pt1 0.000 0.000 0.000 1
Pb1 0.249 0.249 0.877 1
W1 0.000 0.000 0.500 1
W2 0.000 0.500 0.250 1
# Final energy, eV per atom: -5.518
# M_tot, μB/atom: 0.54
# Crystal system: tetragonal



# YPtPb2 | the Open Quantum Materials Database | PBE | optimized geometry
data_YPtPb2
_chemical_formula_sum 'Y4 Pt4 Pb8'
_space_group_name_H-M_alt 'F -4 3 m'
_space_group_IT_number 216
_space_group_name_Hall 'F -4 2 3'
_cell_length_a 7.335
_cell_length_b 7.335
_cell_length_c 7.335
_cell_angle_alpha 90.00
_cell_angle_beta 90.00
_cell_angle_gamma 90.00
loop_
_atom_site_label
_atom_site_fract_x
_atom_site_fract_y
_atom_site_fract_z
_atom_site_occupancy
Y1 0.000 0.000 0.000 1
Pt1 0.250 0.250 0.250 1
Pb1 0.000 0.000 0.500 1
Pb2 0.250 0.250 0.750 1
# Final energy, eV per atom: -5.286
# M_tot, μB/atom: 0.01
# Crystal system: cubic



# Y2PtPb2 | the Open Quantum Materials Database | PBE | optimized geometry
data_Y2PtPb2
_chemical_formula_sum 'Y4 Pt2 Pb4'
_space_group_name_H-M_alt 'I 4/m m m'
_space_group_IT_number 139
_space_group_name_Hall '-I 4 2'
_cell_length_a 4.565
_cell_length_b 4.565
_cell_length_c 13.767
_cell_angle_alpha 90.00
_cell_angle_beta 90.00
_cell_angle_gamma 90.00
loop_
_atom_site_label
_atom_site_fract_x
_atom_site_fract_y
_atom_site_fract_z
_atom_site_occupancy
Y1 0.000 0.500 0.250 1
Pt1 0.000 0.000 0.000 1
Pb1 0.000 0.000 0.402 1
# Final energy, eV per atom: -4.809
# M_tot, μB/atom: 0.00
# Crystal system: tetragonal



# Zn2PtPb2 | the Open Quantum Materials Database | PBE | optimized geometry
data_Zn2PtPb2
_chemical_formula_sum 'Zn8 Pt4 Pb8'
_space_group_name_H-M_alt 'I 4/m m m'
_space_group_IT_number 139
_space_group_name_Hall '-I 4 2'
_cell_length_a 4.045
_cell_length_b 4.045
_cell_length_c 30.230
_cell_angle_alpha 90.00
_cell_angle_beta 90.00
_cell_angle_gamma 90.00
loop_
_atom_site_label
_atom_site_fract_x
_atom_site_fract_y
_atom_site_fract_z
_atom_site_occupancy
Zn1 0.000 0.000 0.086 1
Zn2 0.000 0.500 0.250 1
Pt1 0.000 0.000 0.422 1
Pb1 0.000 0.000 0.177 1
Pb2 0.000 0.500 0.000 1
# Final energy, eV per atom: -2.870
# M_tot, μB/atom: 0.00
# Crystal system: tetragonal



# ZnPt2Pb | the Open Quantum Materials Database | PBE | optimized geometry
data_ZnPt2Pb
_chemical_formula_sum 'Zn4 Pt8 Pb4'
_space_group_name_H-M_alt 'F -4 3 m'
_space_group_IT_number 216
_space_group_name_Hall 'F -4 2 3'
_cell_length_a 6.616
_cell_length_b 6.616
_cell_length_c 6.616
_cell_angle_alpha 90.00
_cell_angle_beta 90.00
_cell_angle_gamma 90.00
loop_
_atom_site_label
_atom_site_fract_x
_atom_site_fract_y
_atom_site_fract_z
_atom_site_occupancy
Zn1 0.000 0.000 0.000 1
Pt1 0.000 0.000 0.500 1
Pt2 0.250 0.250 0.250 1
Pb1 0.250 0.250 0.750 1
# Final energy, eV per atom: -4.280
# M_tot, μB/atom: 0.00
# Crystal system: cubic



# ZrPt2Pb | the Open Quantum Materials Database | PBE | optimized geometry
data_ZrPt2Pb
_chemical_formula_sum 'Zr4 Pt8 Pb4'
_space_group_name_H-M_alt 'F -4 3 m'
_space_group_IT_number 216
_space_group_name_Hall 'F -4 2 3'
_cell_length_a 6.731
_cell_length_b 6.731
_cell_length_c 6.731
_cell_angle_alpha 90.00
_cell_angle_beta 90.00
_cell_angle_gamma 90.00
loop_
_atom_site_label
_atom_site_fract_x
_atom_site_fract_y
_atom_site_fract_z
_atom_site_occupancy
Zr1 0.000 0.000 0.000 1
Pt1 0.000 0.000 0.500 1
Pt2 0.250 0.250 0.250 1
Pb1 0.250 0.250 0.750 1
# Final energy, eV per atom: -6.472
# M_tot, μB/atom: 0.00
# Crystal system: cubic



# Pu5Pb4 | the Open Quantum Materials Database | PBE | optimized geometry
data_Pu5Pb4
_chemical_formula_sum 'Pu10 Pb8'
_space_group_name_H-M_alt 'P 63/m c m'
_space_group_IT_number 193
_space_group_name_Hall '-P 6c 2'
_cell_length_a 9.5348
_cell_length_b 9.5348
_cell_length_c 6.5558
_cell_angle_alpha 90.00
_cell_angle_beta 90.00
_cell_angle_gamma 120.00
loop_
_atom_site_label
_atom_site_fract_x
_atom_site_fract_y
_atom_site_fract_z
_atom_site_occupancy
Pu1 0.0000 0.3025 0.2500 1
Pu2 0.3333 0.6667 0.0000 1
Pb1 0.0000 0.0000 0.0000 1
Pb2 0.0000 0.3621 0.7500 1
# Final energy, eV per atom: -9.722
# M_tot, μB/atom: 3.28
# Crystal system: hexagonal



# RbPuPb | the Open Quantum Materials Database | PBE | optimized geometry
data_RbPuPb
_chemical_formula_sum 'Rb4 Pu4 Pb4'
_space_group_name_H-M_alt 'F -4 3 m'
_space_group_IT_number 216
_space_group_name_Hall 'F -4 2 3'
_cell_length_a 8.052
_cell_length_b 8.052
_cell_length_c 8.052
_cell_angle_alpha 90.00
_cell_angle_beta 90.00
_cell_angle_gamma 90.00
loop_
_atom_site_label
_atom_site_fract_x
_atom_site_fract_y
_atom_site_fract_z
_atom_site_occupancy
Rb1 0.000 0.000 0.000 1
Pu1 0.000 0.000 0.500 1
Pb1 0.250 0.250 0.750 1
# Final energy, eV per atom: -5.873
# M_tot, μB/atom: 1.77
# Energy above the most stable polymorph in this dataset, eV/atom: 0.0000
# Crystal system: cubic



# Pu2Pb2Se5 | the Open Quantum Materials Database | PBE | optimized geometry
data_Pu2Pb2Se5
_chemical_formula_sum 'Pu2 Pb2 Se5'
_space_group_name_H-M_alt 'P -3 m 1'
_space_group_IT_number 164
_space_group_name_Hall '-P 3 2"'
_cell_length_a 4.2711
_cell_length_b 4.2711
_cell_length_c 16.7101
_cell_angle_alpha 90.00
_cell_angle_beta 90.00
_cell_angle_gamma 120.00
loop_
_atom_site_label
_atom_site_fract_x
_atom_site_fract_y
_atom_site_fract_z
_atom_site_occupancy
Pu1 0.0000 0.0000 0.1705 1
Pb1 0.3333 0.6667 0.6114 1
Se1 0.0000 0.0000 0.5000 1
Se2 0.3333 0.6667 0.2743 1
Se3 0.3333 0.6667 0.9096 1
# Final energy, eV per atom: -6.941
# M_tot, μB/atom: 1.11
# Crystal system: trigonal



# SmPuPb | the Open Quantum Materials Database | PBE | optimized geometry
data_SmPuPb
_chemical_formula_sum 'Sm4 Pu4 Pb4'
_space_group_name_H-M_alt 'F -4 3 m'
_space_group_IT_number 216
_space_group_name_Hall 'F -4 2 3'
_cell_length_a 7.522
_cell_length_b 7.522
_cell_length_c 7.522
_cell_angle_alpha 90.00
_cell_angle_beta 90.00
_cell_angle_gamma 90.00
loop_
_atom_site_label
_atom_site_fract_x
_atom_site_fract_y
_atom_site_fract_z
_atom_site_occupancy
Sm1 0.000 0.000 0.000 1
Pu1 0.000 0.000 0.500 1
Pb1 0.250 0.250 0.750 1
# Final energy, eV per atom: -7.542
# M_tot, μB/atom: 2.34
# Energy above the most stable polymorph in this dataset, eV/atom: 0.0000
# Crystal system: cubic



# PuSnPb | the Open Quantum Materials Database | PBE | optimized geometry
data_PuSnPb
_chemical_formula_sum 'Pu4 Sn4 Pb4'
_space_group_name_H-M_alt 'F -4 3 m'
_space_group_IT_number 216
_space_group_name_Hall 'F -4 2 3'
_cell_length_a 7.141
_cell_length_b 7.141
_cell_length_c 7.141
_cell_angle_alpha 90.00
_cell_angle_beta 90.00
_cell_angle_gamma 90.00
loop_
_atom_site_label
_atom_site_fract_x
_atom_site_fract_y
_atom_site_fract_z
_atom_site_occupancy
Pu1 0.000 0.000 0.000 1
Sn1 0.250 0.250 0.250 1
Pb1 0.250 0.250 0.750 1
# Final energy, eV per atom: -7.213
# M_tot, μB/atom: 1.91
# Crystal system: cubic



# SrPuPb | the Open Quantum Materials Database | PBE | optimized geometry
data_SrPuPb
_chemical_formula_sum 'Sr4 Pu4 Pb4'
_space_group_name_H-M_alt 'F -4 3 m'
_space_group_IT_number 216
_space_group_name_Hall 'F -4 2 3'
_cell_length_a 7.819
_cell_length_b 7.819
_cell_length_c 7.819
_cell_angle_alpha 90.00
_cell_angle_beta 90.00
_cell_angle_gamma 90.00
loop_
_atom_site_label
_atom_site_fract_x
_atom_site_fract_y
_atom_site_fract_z
_atom_site_occupancy
Sr1 0.000 0.000 0.000 1
Pu1 0.000 0.000 0.500 1
Pb1 0.250 0.250 0.750 1
# Final energy, eV per atom: -6.555
# M_tot, μB/atom: 2.00
# Energy above the most stable polymorph in this dataset, eV/atom: 0.0000
# Crystal system: cubic